La2WO6, relaxed, DFT GGA+U; density of states at the Fermi level = 0.00 states/eV/cell; total magnetization = 0.000 Bohr magnetons per cell; VASP energy = -8.078 eV/atom; space group = P4_2/mnm, No. 136
1.0
5.204 0.000 0.000
0.000 5.204 0.000
0.000 0.000 10.539
La W O
4 2 12
Direct
0.000 0.000 0.168
0.000 0.000 0.832
0.500 0.500 0.332
0.500 0.500 0.668
0.000 0.000 0.500
0.500 0.500 0.000
0.179 0.179 0.361
0.179 0.179 0.639
0.234 0.234 0.000
0.266 0.734 0.500
0.321 0.679 0.139
0.321 0.679 0.861
0.679 0.321 0.139
0.679 0.321 0.861
0.734 0.266 0.500
0.766 0.766 0.000
0.821 0.821 0.361
0.821 0.821 0.639